K2Co | Alexandria via LeMat-Bulk | PBE | relaxed; ΔE to the lowest computed polymorph = 1.17 eV/f.u.; calculated total energy = -2.093 eV/atom; formation energy from the elements = 1007 meV per atom; crystal system = cubic; spin magnetization = 6.8 Bohr magnetons per cell
1.0
-1.3082 8.0319 -1.4703
-2.9383 0.9263 7.6742
7.6184 1.7365 2.7074
K Co
8 4
Direct
0.6624 0.8376 0.8376
0.3376 0.3376 0.6624
0.6624 0.6624 0.3376
0.8376 0.3376 0.8376
0.3376 0.1624 0.1624
0.8376 0.1624 0.3376
0.1624 0.8376 0.6624
0.1624 0.6624 0.1624
0.5000 0.0000 0.5000
0.0000 0.5000 0.5000
0.5000 0.5000 0.0000
0.0000 0.0000 0.0000

=====

KCo | Alexandria via LeMat-Bulk | PBE | relaxed; ΔE to the lowest computed polymorph = 0.47 eV/f.u.; calculated total energy = -3.244 eV/atom; formation energy from the elements = 857 meV per atom; crystal system = orthorhombic; spin magnetization = 3.3 Bohr magnetons per cell
1.0
9.6833 -0.6181 0.0000
-9.0772 3.4283 0.0000
0.0000 0.0000 4.1171
Co K
2 2
Direct
0.9770 0.0230 0.7500
0.0230 0.9770 0.2500
0.3617 0.6383 0.2500
0.6383 0.3617 0.7500

=====

K3Co2 | Alexandria via LeMat-Bulk | PBE | relaxed; ΔE to the lowest computed polymorph = 1.10 eV/f.u.; calculated total energy = -2.272 eV/atom; formation energy from the elements = 1229 meV per atom; crystal system = trigonal; spin magnetization = 4.1 Bohr magnetons per cell
1.0
-7.7139 -10.2430 -1.6819
-4.1433 -11.4301 -4.4091
-3.9750 -12.3057 0.1517
Co K
2 3
Direct
0.3913 0.3913 0.3913
0.6087 0.6087 0.6087
0.2209 0.2209 0.2209
0.0000 0.0000 0.0000
0.7791 0.7791 0.7791

=====

KCo | Alexandria via LeMat-Bulk | PBE | relaxed; ΔE to the lowest computed polymorph = 1.40 eV/f.u.; calculated total energy = -2.782 eV/atom; formation energy from the elements = 1320 meV per atom; crystal system = trigonal; spin magnetization = 1.3 Bohr magnetons per cell
1.0
5.7873 0.0284 0.0172
5.0324 2.8581 0.0172
5.0324 1.3426 2.5232
Co K
1 1
Direct
0.0000 0.0000 0.0000
0.5000 0.5000 0.5000

=====

KCo2 | Alexandria via LeMat-Bulk | PBE | relaxed; calculated total energy = -4.523 eV/atom; formation energy from the elements = 580 meV per atom; crystal system = orthorhombic; spin magnetization = 7.0 Bohr magnetons per cell
1.0
-9.1401 3.8819 2.9703
8.3779 -6.0975 0.2510
1.8812 2.6790 2.2877
Co K
4 2
Direct
0.2497 0.7503 0.2500
0.6954 0.3046 0.2500
0.7503 0.2497 0.7500
0.3046 0.6954 0.7500
0.8952 0.1048 0.2500
0.1048 0.8952 0.7500

=====

KCo | Alexandria via LeMat-Bulk | PBE | relaxed; ΔE to the lowest computed polymorph = 0.47 eV/f.u.; calculated total energy = -3.245 eV/atom; formation energy from the elements = 857 meV per atom; crystal system = orthorhombic; spin magnetization = 13.0 Bohr magnetons per cell
1.0
-0.9287 9.8585 3.1651
-2.5638 -1.8959 5.1528
6.7589 -0.3962 3.2172
K Co
8 8
Direct
0.3331 0.8578 0.7500
0.1669 0.3578 0.7500
0.3331 0.1422 0.2500
0.8331 0.6422 0.2500
0.6669 0.8578 0.7500
0.6669 0.1422 0.2500
0.1669 0.6422 0.2500
0.8331 0.3578 0.7500
0.0000 0.8747 0.8955
0.5000 0.3747 0.6045
0.0000 0.1253 0.1045
0.5000 0.3747 0.8955
0.5000 0.6253 0.3955
0.5000 0.6253 0.1045
0.0000 0.1253 0.3955
0.0000 0.8747 0.6045

=====

KCo | Alexandria via LeMat-Bulk | PBE | relaxed; ΔE to the lowest computed polymorph = 0.29 eV/f.u.; calculated total energy = -3.336 eV/atom; formation energy from the elements = 766 meV per atom; crystal system = orthorhombic; spin magnetization = 9.3 Bohr magnetons per cell
1.0
6.2274 0.0000 0.0000
0.0000 4.1628 0.0000
0.0000 0.0000 14.0031
K Co
6 6
Direct
0.5000 0.7399 0.5000
0.5000 0.2438 0.2734
0.0000 0.7562 0.7734
0.0000 0.7562 0.2266
0.0000 0.2601 0.0000
0.5000 0.2438 0.7266
0.5000 0.7390 0.0764
0.0000 0.2610 0.4236
0.5000 0.7390 0.9236
0.0000 0.7613 0.5000
0.5000 0.2387 0.0000
0.0000 0.2610 0.5764

=====

KCo | Alexandria via LeMat-Bulk | PBE | relaxed; ΔE to the lowest computed polymorph = 1.40 eV/f.u.; calculated total energy = -2.780 eV/atom; formation energy from the elements = 1322 meV per atom; crystal system = hexagonal; spin magnetization = 1.3 Bohr magnetons per cell
1.0
2.9379 0.0000 0.0000
-1.4689 2.5443 0.0000
0.0000 0.0000 5.5376
K Co
1 1
Direct
0.6667 0.3333 0.5000
0.0000 0.0000 0.0000

=====

KCo2 | Alexandria via LeMat-Bulk | PBE | relaxed; calculated total energy = -4.603 eV/atom; formation energy from the elements = 500 meV per atom; crystal system = orthorhombic; spin magnetization = 6.8 Bohr magnetons per cell
1.0
10.1506 5.7113 -3.0193
-11.0327 -4.7852 0.3883
-1.3545 3.2527 1.5989
Co K
4 2
Direct
0.9627 0.0373 0.7500
0.0373 0.9627 0.2500
0.4570 0.5430 0.2500
0.5430 0.4570 0.7500
0.3383 0.6617 0.7500
0.6617 0.3383 0.2500

=====

KCo | Alexandria via LeMat-Bulk | PBE | relaxed; ΔE to the lowest computed polymorph = 1.12 eV/f.u.; calculated total energy = -2.917 eV/atom; formation energy from the elements = 1184 meV per atom; crystal system = tetragonal; spin magnetization = 8.1 Bohr magnetons per cell
1.0
-0.1080 -6.7509 -0.7674
4.5674 -0.6403 4.9903
-4.8585 -0.4217 4.3927
K Co
4 4
Direct
0.8188 0.1812 0.0000
0.3188 0.3188 0.5000
0.1812 0.8188 0.0000
0.6812 0.6812 0.5000
0.3920 0.3920 0.0000
0.6080 0.6080 0.0000
0.1080 0.8920 0.5000
0.8920 0.1080 0.5000

=====

KCo | Alexandria via LeMat-Bulk | PBE | relaxed; ΔE to the lowest computed polymorph = 0.49 eV/f.u.; calculated total energy = -3.233 eV/atom; formation energy from the elements = 869 meV per atom; crystal system = hexagonal; spin magnetization = 9.9 Bohr magnetons per cell
1.0
11.8613 0.0000 0.0000
-5.9306 10.2722 0.0000
0.0000 0.0000 3.7693
Co K
6 6
Direct
0.0534 0.5267 0.2500
0.5267 0.4733 0.7500
0.4733 0.5267 0.2500
0.4733 0.9466 0.2500
0.9466 0.4733 0.7500
0.5267 0.0534 0.7500
0.7956 0.2044 0.2500
0.2044 0.7956 0.7500
0.4088 0.2044 0.2500
0.2044 0.4088 0.7500
0.7956 0.5913 0.2500
0.5913 0.7956 0.7500

=====

KCo | Alexandria via LeMat-Bulk | PBE | relaxed; ΔE to the lowest computed polymorph = 0.19 eV/f.u.; calculated total energy = -3.382 eV/atom; formation energy from the elements = 720 meV per atom; crystal system = orthorhombic; spin magnetization = 10.5 Bohr magnetons per cell
1.0
11.9909 0.0000 0.0000
0.0000 3.6896 0.0000
0.0000 0.0000 9.1232
K Co
6 6
Direct
0.3168 0.0000 0.2541
0.5000 0.5000 0.6399
0.6832 0.0000 0.2541
0.1832 0.5000 0.7541
0.8168 0.5000 0.7541
0.0000 0.0000 0.1399
0.9068 0.5000 0.4225
0.5000 0.5000 0.0090
0.4068 0.0000 0.9225
0.0000 0.0000 0.5090
0.5932 0.0000 0.9225
0.0932 0.5000 0.4225